[1]
First-principles (PBE) data for Rb6H5I after structural relaxation, as listed in the Alexandria database.

Cell lengths 7.7880, 7.7880, 7.7339 Å; angles 99.77, 99.77, 119.88 degrees
Fractional coordinates of all 12 atoms:
Rb: 0.0330 0.4077 0.2446
Rb: 0.2318 0.2318 0.7862
Rb: 0.4077 0.0330 0.2446
Rb: 0.5923 0.9670 0.7554
Rb: 0.7682 0.7682 0.2138
Rb: 0.9670 0.5923 0.7554
H: 0.0000 0.0000 0.0000
H: 0.1696 0.8304 0.5000
H: 0.3347 0.6653 0.0000
H: 0.6653 0.3347 0.0000
H: 0.8304 0.1696 0.5000
I: 0.5000 0.5000 0.5000

## Properties
Mass density   2.8 g/cm3
Energy   -2.36 eV per atom

---

[2]
First-principles (PBE) data for NaSr2Sn4Hg3 after structural relaxation, as listed in the Alexandria database.

Cell lengths 4.7704, 4.7704, 13.0003 Å; angles 90.00, 90.00, 90.00 degrees
Fractional coordinates of all 10 atoms:
Na: 0.0000 0.0000 0.0000
Sr: 0.0000 0.5000 0.7516
Sr: 0.5000 0.0000 0.2484
Sn: 0.0000 0.0000 0.5000
Sn: 0.0000 0.5000 0.1413
Sn: 0.5000 0.0000 0.8587
Sn: 0.5000 0.5000 0.5000
Hg: 0.0000 0.5000 0.3557
Hg: 0.5000 0.0000 0.6443
Hg: 0.5000 0.5000 0.0000

## Properties
Formation energy from the elements   -0.33 eV/atom
Mass density   7.2 g/cm3
Energy   -2.49 eV per atom

---

[3]
First-principles (PBE) data for CeSmPdRh after structural relaxation, as listed in the Alexandria database.

Cell lengths 4.1700, 3.8528, 11.4296 Å; angles 90.00, 90.00, 90.00 degrees
Fractional coordinates of all 8 atoms:
Ce: 0.0000 0.0000 0.0000
Ce: 0.0000 0.5000 0.5000
Sm: 0.5000 0.0000 0.7247
Sm: 0.5000 0.5000 0.2247
Pd: 0.0000 0.0000 0.2843
Pd: 0.0000 0.5000 0.7843
Rh: 0.5000 0.0000 0.4671
Rh: 0.5000 0.5000 0.9671

## Properties
Formation energy from the elements   -0.78 eV/atom
Mass density   9.0 g/cm3
Energy   -6.58 eV per atom

---

[4]
First-principles (PBE) data for SrIn2Rh after structural relaxation, as listed in the Alexandria database.

Cell lengths 5.4501, 5.4501, 17.5192 Å; angles 90.00, 90.00, 90.00 degrees
Fractional coordinates of all 16 atoms:
Sr: 0.0000 0.0000 0.0000
Sr: 0.0000 0.5000 0.2500
Sr: 0.5000 0.0000 0.7500
Sr: 0.5000 0.5000 0.5000
In: 0.0763 0.2500 0.6250
In: 0.2500 0.5763 0.8750
In: 0.2500 0.9237 0.3750
In: 0.4237 0.2500 0.1250
In: 0.5763 0.7500 0.1250
In: 0.7500 0.0763 0.3750
In: 0.7500 0.4237 0.8750
In: 0.9237 0.7500 0.6250
Rh: 0.0000 0.0000 0.5000
Rh: 0.0000 0.5000 0.7500
Rh: 0.5000 0.0000 0.2500
Rh: 0.5000 0.5000 0.0000

## Properties
Formation energy from the elements   -0.08 eV/atom
Mass density   5.4 g/cm3
Energy   -3.71 eV per atom

---

[5]
First-principles (PBE) data for SrLiF2 after structural relaxation, as listed in the Alexandria database.

Cell lengths 4.0722, 4.0722, 16.9587 Å; angles 90.00, 90.00, 120.00 degrees
Fractional coordinates of all 12 atoms:
Sr: 0.0000 0.0000 0.0000
Sr: 0.3333 0.6667 0.6667
Sr: 0.6667 0.3333 0.3333
Li: 0.0000 0.0000 0.5000
Li: 0.3333 0.6667 0.1667
Li: 0.6667 0.3333 0.8333
F: 0.0000 0.0000 0.3873
F: 0.0000 0.0000 0.6127
F: 0.3333 0.6667 0.0540
F: 0.3333 0.6667 0.2794
F: 0.6667 0.3333 0.7206
F: 0.6667 0.3333 0.9460

## Properties
Formation energy without anion corrections   -2.827 eV per atom
Mass density   2.7 g/cm3
Energy   -4.66 eV per atom